Computed, not measured: crystalline BaTc2Pb at its relaxed geometry at the GGA-PBE level of DFT.

abc: 4.7130 4.7130 18.1016
angles: 90.00 90.00 120.00
Space group R-3m (No. 166, hexagonal axes)
Symmetry-distinct sites (fractional):
Ba  0.0000  0.0000  0.0000 x3
Tc  0.0000  0.0000  0.1753 x6
Pb  0.0000  0.0000  0.5000 x3

Results
- formation energy (kJ per mole of atoms) = 38
- density of states at the Fermi level (states/eV/f.u.) = 2.8


Computed, not measured: crystalline HfOF2 at its relaxed geometry at the GGA-PBE level of DFT.

abc: 5.303 5.303 5.303
angles: 90.00 90.00 90.00
Space group Fm-3m (No. 225)
Symmetry-distinct sites (fractional):
Hf  0.000  0.000  0.000 x4
O  0.000  0.000  0.500 x4
F  0.250  0.250  0.250 x8

Results
- energy relative to the elements, uncorrected (eV per atom) = -2.500
- density of states at the Fermi level (states/eV/f.u.) = 0.0


Computed, not measured: crystalline CaTlBr2 at its relaxed geometry at the GGA-PBE level of DFT.

abc: 4.5975 4.5975 28.5850
angles: 90.00 90.00 120.00
Space group R-3m (No. 166, hexagonal axes)
Symmetry-distinct sites (fractional):
Ca  0.0000  0.0000  0.0000 x3
Tl  0.0000  0.0000  0.5000 x3
Br  0.0000  0.0000  0.0965 x6

Results
- energy relative to the elements, uncorrected (eV per atom) = -0.971
- offset from the most stable computed form (kJ/mol of atoms) = 35.4
- density of states at the Fermi level (states/eV/f.u.) = 1.1


Computed, not measured: crystalline Tb3AlCu3 at its relaxed geometry at the GGA-PBE level of DFT.

abc: 10.560 4.181 14.237
angles: 90.00 109.95 90.00
Space group C2/m (No. 12)
Symmetry-distinct sites (fractional):
Tb  0.022  0.000  0.382 x4
Tb  0.105  0.000  0.921 x4
Tb  0.245  0.000  0.231 x4
Al  0.243  0.500  0.409 x4
Cu  0.043  0.500  0.236 x4
Cu  0.104  0.500  0.078 x4
Cu  0.127  0.500  0.543 x4

Results
- formation energy (kJ per mole of atoms) = -27
- density of states at the Fermi level (states/eV/f.u.) = 6.9


Computed, not measured: crystalline Mg6AgPb at its relaxed geometry at the GGA-PBE level of DFT.

abc: 4.514 4.514 8.691
angles: 90.00 90.00 90.00
Space group P4/mmm (No. 123)
Symmetry-distinct sites (fractional):
Mg  0.000  0.000  0.000 x1
Mg  0.000  0.000  0.500 x1
Mg  0.000  0.500  0.231 x4
Ag  0.500  0.500  0.000 x1
Pb  0.500  0.500  0.500 x1

Results
- formation energy (kJ per mole of atoms) = -8
- density of states at the Fermi level (states/eV/f.u.) = 1.9


Computed, not measured: crystalline Hf3Ni2Ir at its relaxed geometry at the GGA-PBE level of DFT.

abc: 4.506 13.713 3.235
angles: 90.00 90.00 90.00
Space group Cmmm (No. 65)
Symmetry-distinct sites (fractional):
Hf  0.000  0.000  0.000 x2
Hf  0.000  0.329  0.000 x4
Ni  0.000  0.157  0.500 x4
Ir  0.000  0.500  0.500 x2

Results
- formation energy (kJ per mole of atoms) = -59
- density of states at the Fermi level (states/eV/f.u.) = 4.5